VASP calculation (GGA-PBE) on a relaxed structure of NdAl3Cu.

Space group: I4mm
DFT total energy (eV/atom): -4.415
Spin magnetization (μB/f.u.): 0.005

POSCAR file:
```
NdAl3Cu
1.0
4.229 0.000 0.000
0.000 4.229 0.000
0.000 0.000 10.682
Nd Al Cu
2 6 2
Direct
0.000 0.000 0.000
0.500 0.500 0.500
0.000 0.000 0.408
0.000 0.500 0.250
0.000 0.500 0.750
0.500 0.000 0.250
0.500 0.000 0.750
0.500 0.500 0.908
0.000 0.000 0.632
0.500 0.500 0.132
```

---

VASP calculation (GGA-PBE) on a relaxed structure of NdAl2Cu2Ni.

Space group: Cmmm
DFT total energy (eV/atom): -4.642
Spin magnetization (μB/f.u.): 0.003

POSCAR file:
```
NdAl2Cu2Ni
1.0
5.333 0.000 0.000
0.000 8.710 0.000
0.000 0.000 4.168
Nd Al Cu Ni
2 4 4 2
Direct
0.000 0.000 0.000
0.500 0.500 0.000
0.250 0.250 0.500
0.250 0.750 0.500
0.750 0.250 0.500
0.750 0.750 0.500
0.000 0.341 0.000
0.000 0.659 0.000
0.500 0.159 0.000
0.500 0.841 0.000
0.000 0.500 0.500
0.500 0.000 0.500
```

---

VASP calculation (GGA-PBE) on a relaxed structure of Nd3Al3CuNi2.

Space group: P-62m
DFT total energy (eV/atom): -4.953
Spin magnetization (μB/f.u.): 0.007

POSCAR file:
```
Nd3Al3CuNi2
1.0
7.086 0.000 0.000
-3.543 6.137 0.000
0.000 0.000 4.094
Nd Al Cu Ni
3 3 1 2
Direct
0.000 0.421 0.000
0.421 0.000 0.000
0.579 0.579 0.000
0.000 0.767 0.500
0.233 0.233 0.500
0.767 0.000 0.500
0.000 0.000 0.000
0.333 0.667 0.500
0.667 0.333 0.500
```

---

VASP calculation (GGA-PBE) on a relaxed structure of NdSc2Al3Cu2Ni.

Space group: Amm2
DFT total energy (eV/atom): -5.094
Spin magnetization (μB/f.u.): 0.007

POSCAR file:
```
NdSc2Al3Cu2Ni
1.0
3.936 0.000 0.000
0.000 5.905 3.443
0.000 -5.905 3.443
Nd Sc Al Cu Ni
1 2 3 2 1
Direct
0.000 0.000 0.000
0.000 0.411 0.818
0.000 0.818 0.411
0.500 0.182 0.422
0.500 0.422 0.182
0.500 0.646 0.646
0.500 0.087 0.736
0.500 0.736 0.087
0.000 0.429 0.429
```

---

VASP calculation (GGA-PBE) on a relaxed structure of NdTm2Al3Cu2Ni.

Space group: Amm2
DFT total energy (eV/atom): -4.698
Spin magnetization (μB/f.u.): 0.001

POSCAR file:
```
NdTm2Al3Cu2Ni
1.0
3.955 0.000 0.000
0.000 6.135 3.558
0.000 -6.135 3.558
Nd Tm Al Cu Ni
1 2 3 2 1
Direct
0.000 0.000 0.000
0.000 0.174 0.586
0.000 0.586 0.174
0.500 0.355 0.355
0.500 0.584 0.818
0.500 0.818 0.584
0.500 0.254 0.918
0.500 0.918 0.254
0.000 0.583 0.583
```

---

VASP calculation (GGA-PBE) on a relaxed structure of NdY2Al3Cu2Ni.

Space group: Amm2
DFT total energy (eV/atom): -5.139
Spin magnetization (μB/f.u.): 0.003

POSCAR file:
```
NdY2Al3Cu2Ni
1.0
4.032 0.000 0.000
0.000 6.072 3.551
0.000 -6.072 3.551
Nd Y Al Cu Ni
1 2 3 2 1
Direct
0.000 0.000 0.000
0.000 0.412 0.824
0.000 0.824 0.412
0.500 0.187 0.418
0.500 0.418 0.187
0.500 0.639 0.639
0.500 0.082 0.741
0.500 0.741 0.082
0.000 0.418 0.418
```

---

VASP calculation (GGA-PBE) on a relaxed structure of NdZr2Al3Cu2Ni.

Space group: Amm2
DFT total energy (eV/atom): -5.562
Spin magnetization (μB/f.u.): 0.016

POSCAR file:
```
NdZr2Al3Cu2Ni
1.0
4.025 0.000 0.000
0.000 5.853 3.395
0.000 -5.853 3.395
Nd Zr Al Cu Ni
1 2 3 2 1
Direct
0.000 0.000 0.000
0.000 0.187 0.593
0.000 0.593 0.187
0.500 0.356 0.356
0.500 0.578 0.824
0.500 0.824 0.578
0.500 0.264 0.918
0.500 0.918 0.264
0.000 0.573 0.573
```

---

VASP calculation (GGA-PBE) on a relaxed structure of NdAl5CuPd.

Space group: Imm2
DFT total energy (eV/atom): -4.579
Spin magnetization (μB/f.u.): 0.003

POSCAR file:
```
NdAl5CuPd
1.0
4.039 0.000 0.000
0.000 7.247 0.000
0.000 0.000 9.768
Nd Al Cu Pd
2 10 2 2
Direct
0.000 0.000 0.000
0.500 0.500 0.500
0.000 0.187 0.656
0.000 0.190 0.356
0.000 0.500 0.012
0.000 0.810 0.356
0.000 0.813 0.656
0.500 0.000 0.512
0.500 0.310 0.856
0.500 0.313 0.156
0.500 0.687 0.156
0.500 0.690 0.856
0.000 0.500 0.256
0.500 0.000 0.756
0.000 0.500 0.763
0.500 0.000 0.263
```

---

VASP calculation (GGA-PBE) on a relaxed structure of NdAlCu2Pd2.

Space group: Cmmm
DFT total energy (eV/atom): -4.983
Spin magnetization (μB/f.u.): 0.003

POSCAR file:
```
NdAlCu2Pd2
1.0
5.548 0.000 0.000
0.000 8.786 0.000
0.000 0.000 4.195
Nd Al Cu Pd
2 2 4 4
Direct
0.000 0.000 0.000
0.500 0.500 0.000
0.000 0.500 0.500
0.500 0.000 0.500
0.000 0.346 0.000
0.000 0.654 0.000
0.500 0.154 0.000
0.500 0.846 0.000
0.250 0.250 0.500
0.250 0.750 0.500
0.750 0.250 0.500
0.750 0.750 0.500
```

---

VASP calculation (GGA-PBE) on a relaxed structure of Nd2YAl3Cu2Pd.

Space group: Amm2
DFT total energy (eV/atom): -4.962
Spin magnetization (μB/f.u.): 0.008

POSCAR file:
```
Nd2YAl3Cu2Pd
1.0
4.154 0.000 0.000
0.000 6.257 3.534
0.000 -6.257 3.534
Nd Y Al Cu Pd
2 1 3 2 1
Direct
0.000 0.210 0.790
0.000 0.790 0.210
0.000 0.631 0.631
0.500 0.217 0.448
0.500 0.448 0.217
0.500 0.976 0.976
0.500 0.547 0.871
0.500 0.871 0.547
0.000 0.216 0.216
```

---

VASP calculation (GGA-PBE) on a relaxed structure of PrNdAl2Cu4.

Space group: P-6m2
DFT total energy (eV/atom): -4.300
Spin magnetization (μB/f.u.): 0.086

POSCAR file:
```
PrNdAl2Cu4
1.0
4.277 0.000 0.000
-2.138 3.704 0.000
0.000 0.000 9.589
Pr Nd Al Cu
1 1 2 4
Direct
0.000 0.000 0.000
0.667 0.333 0.500
0.333 0.667 0.252
0.333 0.667 0.748
0.000 0.000 0.307
0.000 0.000 0.693
0.667 0.333 0.197
0.667 0.333 0.803
```

---

VASP calculation (GGA-PBE) on a relaxed structure of Pr2NdAl7Cu2.

Space group: R-3m
DFT total energy (eV/atom): -4.472
Spin magnetization (μB/f.u.): 0.012

POSCAR file:
```
Pr2NdAl7Cu2
1.0
2.800 1.616 8.641
-2.800 1.616 8.641
0.000 -3.233 8.641
Pr Nd Al Cu
2 1 7 2
Direct
0.142 0.142 0.142
0.858 0.858 0.858
0.000 0.000 0.000
0.072 0.580 0.580
0.420 0.420 0.928
0.420 0.928 0.420
0.500 0.500 0.500
0.580 0.072 0.580
0.580 0.580 0.072
0.928 0.420 0.420
0.335 0.335 0.335
0.665 0.665 0.665
```

---

VASP calculation (GGA-PBE) on a relaxed structure of Pr2NdAl2Cu4.

Space group: C2/m
DFT total energy (eV/atom): -4.378
Spin magnetization (μB/f.u.): 0.015

POSCAR file:
```
Pr2NdAl2Cu4
1.0
5.232 -2.139 0.000
5.232 2.139 0.000
-1.344 0.000 8.378
Pr Nd Al Cu
2 1 2 4
Direct
0.126 0.126 0.377
0.874 0.874 0.623
0.500 0.500 0.000
0.179 0.179 0.779
0.821 0.821 0.221
0.233 0.233 0.077
0.418 0.418 0.357
0.582 0.582 0.643
0.767 0.767 0.923
```

---

VASP calculation (GGA-PBE) on a relaxed structure of NdAl2Cu2Pt.

Space group: Cmmm
DFT total energy (eV/atom): -4.923
Spin magnetization (μB/f.u.): 0.004

POSCAR file:
```
NdAl2Cu2Pt
1.0
5.302 0.000 0.000
0.000 9.214 0.000
0.000 0.000 4.210
Nd Al Cu Pt
2 4 4 2
Direct
0.000 0.000 0.000
0.500 0.500 0.000
0.250 0.250 0.500
0.250 0.750 0.500
0.750 0.250 0.500
0.750 0.750 0.500
0.000 0.324 0.000
0.000 0.676 0.000
0.500 0.176 0.000
0.500 0.824 0.000
0.000 0.500 0.500
0.500 0.000 0.500
```

---

VASP calculation (GGA-PBE) on a relaxed structure of NdAlCu2Pt2.

Space group: Cmmm
DFT total energy (eV/atom): -5.421
Spin magnetization (μB/f.u.): 0.003

POSCAR file:
```
NdAlCu2Pt2
1.0
5.564 0.000 0.000
0.000 8.732 0.000
0.000 0.000 4.184
Nd Al Cu Pt
2 2 4 4
Direct
0.000 0.000 0.000
0.500 0.500 0.000
0.000 0.500 0.500
0.500 0.000 0.500
0.000 0.345 0.000
0.000 0.655 0.000
0.500 0.155 0.000
0.500 0.845 0.000
0.250 0.250 0.500
0.250 0.750 0.500
0.750 0.250 0.500
0.750 0.750 0.500
```

---

VASP calculation (GGA-PBE) on a relaxed structure of NdAlCuPt3.

Space group: P-6m2
DFT total energy (eV/atom): -5.942
Spin magnetization (μB/f.u.): 0.000

POSCAR file:
```
NdAlCuPt3
1.0
5.553 0.000 0.000
-2.777 4.809 0.000
0.000 0.000 3.993
Nd Al Cu Pt
1 1 1 3
Direct
0.000 0.000 0.000
0.333 0.667 0.000
0.667 0.333 0.000
0.501 0.001 0.500
0.501 0.499 0.500
0.999 0.499 0.500
```

---

VASP calculation (GGA-PBE) on a relaxed structure of Nd2SmAl7Cu2.

Space group: R-3m
DFT total energy (eV/atom): -4.472
Spin magnetization (μB/f.u.): 0.010

POSCAR file:
```
Nd2SmAl7Cu2
1.0
2.786 1.608 8.600
-2.786 1.608 8.600
0.000 -3.217 8.600
Nd Sm Al Cu
2 1 7 2
Direct
0.142 0.142 0.142
0.858 0.858 0.858
0.000 0.000 0.000
0.072 0.580 0.580
0.420 0.420 0.928
0.420 0.928 0.420
0.500 0.500 0.500
0.580 0.072 0.580
0.580 0.580 0.072
0.928 0.420 0.420
0.335 0.335 0.335
0.665 0.665 0.665
```

---

VASP calculation (GGA-PBE) on a relaxed structure of TbNd2Al7Cu2.

Space group: R-3m
DFT total energy (eV/atom): -4.457
Spin magnetization (μB/f.u.): 0.000

POSCAR file:
```
TbNd2Al7Cu2
1.0
2.783 1.607 8.589
-2.783 1.607 8.589
0.000 -3.213 8.589
Tb Nd Al Cu
1 2 7 2
Direct
0.000 0.000 0.000
0.142 0.142 0.142
0.858 0.858 0.858
0.072 0.580 0.580
0.420 0.420 0.928
0.420 0.928 0.420
0.500 0.500 0.500
0.580 0.072 0.580
0.580 0.580 0.072
0.928 0.420 0.420
0.335 0.335 0.335
0.665 0.665 0.665
```

---

VASP calculation (GGA-PBE) on a relaxed structure of Tb2NdAl7Cu2.

Space group: R-3m
DFT total energy (eV/atom): -4.473
Spin magnetization (μB/f.u.): 0.009

POSCAR file:
```
Tb2NdAl7Cu2
1.0
2.764 1.596 8.548
-2.764 1.596 8.548
0.000 -3.191 8.548
Tb Nd Al Cu
2 1 7 2
Direct
0.142 0.142 0.142
0.858 0.858 0.858
0.000 0.000 0.000
0.073 0.582 0.582
0.418 0.418 0.927
0.418 0.927 0.418
0.500 0.500 0.500
0.582 0.073 0.582
0.582 0.582 0.073
0.927 0.418 0.418
0.335 0.335 0.335
0.665 0.665 0.665
```

---

VASP calculation (GGA-PBE) on a relaxed structure of Nd2TmAl7Cu2.

Space group: R-3m
DFT total energy (eV/atom): -4.426
Spin magnetization (μB/f.u.): 0.004

POSCAR file:
```
Nd2TmAl7Cu2
1.0
2.774 1.601 8.560
-2.774 1.601 8.560
0.000 -3.203 8.560
Nd Tm Al Cu
2 1 7 2
Direct
0.141 0.141 0.141
0.859 0.859 0.859
0.000 0.000 0.000
0.071 0.579 0.579
0.421 0.421 0.929
0.421 0.929 0.421
0.500 0.500 0.500
0.579 0.071 0.579
0.579 0.579 0.071
0.929 0.421 0.421
0.335 0.335 0.335
0.665 0.665 0.665
```

---

VASP calculation (GGA-PBE) on a relaxed structure of NdTm2Al7Cu2.

Space group: R-3m
DFT total energy (eV/atom): -4.436
Spin magnetization (μB/f.u.): 0.007

POSCAR file:
```
NdTm2Al7Cu2
1.0
2.746 1.586 8.498
-2.746 1.586 8.498
0.000 -3.171 8.498
Nd Tm Al Cu
1 2 7 2
Direct
0.000 0.000 0.000
0.142 0.142 0.142
0.858 0.858 0.858
0.074 0.583 0.583
0.417 0.417 0.926
0.417 0.926 0.417
0.500 0.500 0.500
0.583 0.074 0.583
0.583 0.583 0.074
0.926 0.417 0.417
0.335 0.335 0.335
0.665 0.665 0.665
```

---

VASP calculation (GGA-PBE) on a relaxed structure of Nd2YAl3Cu3.

Space group: Amm2
DFT total energy (eV/atom): -4.668
Spin magnetization (μB/f.u.): 0.046

POSCAR file:
```
Nd2YAl3Cu3
1.0
4.072 0.000 0.000
0.000 6.252 3.542
0.000 -6.252 3.542
Nd Y Al Cu
2 1 3 3
Direct
0.000 0.208 0.792
0.000 0.792 0.208
0.000 0.626 0.626
0.500 0.215 0.446
0.500 0.446 0.215
0.500 0.974 0.974
0.000 0.213 0.213
0.500 0.545 0.869
0.500 0.869 0.545
```

---

VASP calculation (GGA-PBE) on a relaxed structure of NdY2Al7Cu2.

Space group: R-3m
DFT total energy (eV/atom): -4.784
Spin magnetization (μB/f.u.): 0.016

POSCAR file:
```
NdY2Al7Cu2
1.0
2.762 1.595 8.543
-2.762 1.595 8.543
0.000 -3.189 8.543
Nd Y Al Cu
1 2 7 2
Direct
0.000 0.000 0.000
0.142 0.142 0.142
0.858 0.858 0.858
0.073 0.582 0.582
0.418 0.418 0.927
0.418 0.927 0.418
0.500 0.500 0.500
0.582 0.073 0.582
0.582 0.582 0.073
0.927 0.418 0.418
0.335 0.335 0.335
0.665 0.665 0.665
```